An optimized crystal structure of TbHoAlZn. Source: Alexandria, functional PBE.

Cell: 3.568 3.568 7.247 Å, 90.00 90.00 90.00°
Fractional coordinates of all 4 atoms:
Tb (0.000, 0.000, 0.000)
Ho (0.000, 0.000, 0.509)
Al (0.500, 0.500, 0.258)
Zn (0.500, 0.500, 0.749)

Values from the calculation:
The excess energy over the best structure of this formula in the dataset is 0 kJ/mol of formula units.


An optimized crystal structure of TlAsC2. Source: Alexandria, functional PBE.

Cell: 6.141 6.141 6.141 Å, 90.00 90.00 90.00°
Fractional coordinates of all 16 atoms:
Tl (0.000, 0.000, 0.000)
Tl (0.000, 0.500, 0.500)
Tl (0.500, 0.000, 0.500)
Tl (0.500, 0.500, 0.000)
As (0.000, 0.000, 0.500)
As (0.000, 0.500, 0.000)
As (0.500, 0.000, 0.000)
As (0.500, 0.500, 0.500)
C (0.250, 0.250, 0.250)
C (0.250, 0.250, 0.750)
C (0.250, 0.750, 0.250)
C (0.250, 0.750, 0.750)
C (0.750, 0.250, 0.250)
C (0.750, 0.250, 0.750)
C (0.750, 0.750, 0.250)
C (0.750, 0.750, 0.750)

Values from the calculation:
The excess energy over the best structure of this formula in the dataset is 501 kJ/mol of formula units.


An optimized crystal structure of ScCr3In. Source: Alexandria, functional PBE.

Cell: 4.422 4.422 4.422 Å, 90.00 90.00 90.00°
Fractional coordinates of all 5 atoms:
Sc (0.000, 0.000, 0.000)
Cr (0.000, 0.000, 0.500)
Cr (0.000, 0.500, 0.000)
Cr (0.500, 0.000, 0.000)
In (0.500, 0.500, 0.500)

Values from the calculation:
The excess energy over the best structure of this formula in the dataset is 0 kJ/mol of formula units.


An optimized crystal structure of LiH6Pd3. Source: Alexandria, functional PBE.

Cell: 4.830 4.832 4.869 Å, 60.38 60.66 89.98°
Fractional coordinates of all 10 atoms:
Li (0.000, 0.000, 0.000)
H (0.107, 0.106, 0.440)
H (0.446, 0.444, 0.452)
H (0.500, 0.859, 0.641)
H (0.536, 0.070, 0.011)
H (0.916, 0.460, 0.009)
H (0.932, 0.580, 0.486)
Pd (0.243, 0.741, 0.510)
Pd (0.506, 0.476, 0.017)
Pd (0.746, 0.244, 0.512)

Values from the calculation:
The excess energy over the best structure of this formula in the dataset is 0 kJ/mol of formula units.


An optimized crystal structure of MnCrCu2Bi. Source: Alexandria, functional PBE.

Cell: 4.521 4.521 4.915 Å, 90.00 90.00 90.00°
Fractional coordinates of all 5 atoms:
Mn (0.000, 0.000, 0.000)
Cr (0.500, 0.500, 0.500)
Cu (0.000, 0.500, 0.000)
Cu (0.500, 0.000, 0.000)
Bi (0.000, 0.000, 0.500)


An optimized crystal structure of Pm6Er2Ru. Source: Alexandria, functional PBE.

Cell: 9.889 9.889 3.586 Å, 90.00 90.00 125.14°
Fractional coordinates of all 9 atoms:
Pm (0.003, 0.332, 0.000)
Pm (0.248, 0.248, 0.500)
Pm (0.332, 0.003, 0.000)
Pm (0.668, 0.997, 0.000)
Pm (0.752, 0.752, 0.500)
Pm (0.997, 0.668, 0.000)
Er (0.323, 0.677, 0.500)
Er (0.677, 0.323, 0.500)
Ru (0.000, 0.000, 0.000)


An optimized crystal structure of CeTiSi. Source: Alexandria, functional PBE.

Cell: 4.005 4.005 15.747 Å, 90.00 90.00 90.00°
Fractional coordinates of all 12 atoms:
Ce (0.000, 0.000, 0.178)
Ce (0.000, 0.000, 0.822)
Ce (0.500, 0.500, 0.322)
Ce (0.500, 0.500, 0.678)
Ti (0.000, 0.500, 0.000)
Ti (0.000, 0.500, 0.500)
Ti (0.500, 0.000, 0.000)
Ti (0.500, 0.000, 0.500)
Si (0.000, 0.000, 0.385)
Si (0.000, 0.000, 0.615)
Si (0.500, 0.500, 0.115)
Si (0.500, 0.500, 0.885)


An optimized crystal structure of SiHOs2. Source: Alexandria, functional PBE.

Cell: 5.951 5.951 5.064 Å, 90.00 90.00 90.00°
Fractional coordinates of all 16 atoms:
Si (0.000, 0.000, 0.000)
Si (0.000, 0.500, 0.250)
Si (0.500, 0.000, 0.750)
Si (0.500, 0.500, 0.500)
H (0.000, 0.000, 0.500)
H (0.000, 0.500, 0.750)
H (0.500, 0.000, 0.250)
H (0.500, 0.500, 0.000)
Os (0.162, 0.250, 0.625)
Os (0.250, 0.662, 0.875)
Os (0.250, 0.838, 0.375)
Os (0.338, 0.250, 0.125)
Os (0.662, 0.750, 0.125)
Os (0.750, 0.162, 0.375)
Os (0.750, 0.338, 0.875)
Os (0.838, 0.750, 0.625)

Values from the calculation:
The excess energy over the best structure of this formula in the dataset is 0 kJ/mol of formula units.


| no. | calculated volume (Å³/cell) | calculated total energy (eV per atom) |
| --- | --- | --- |
| 1 | 92.2 | -3.936 |
| 2 | 231.6 | -3.871 |
| 3 | 86.5 | -5.863 |
| 4 | 81.6 | -3.912 |
| 5 | 100.5 | -4.748 |
| 6 | 286.7 | -5.062 |
| 7 | 252.6 | -6.937 |
| 8 | 179.3 | -7.591 |